A plane-wave DFT calculation with PBE-GGA was carried out for a relaxed KPuCuCl6 crystal.

The space group is P-31c (No. 163) and the conventional cell measures 6.6793, 6.6793 and 14.0928 Å, with angles of 90.00, 90.00 and 120.00 degrees. Symmetry generates all atoms from K at (0.0000, 0.0000, 0.0000), Pu at (0.3333, 0.6667, 0.2500), Cu at (0.3333, 0.6667, 0.7500) and Cl at (0.0134, 0.3715, 0.6453).

Its calculated total energy is -4.877 eV/atom. The formation energy from raw total energies is -1.48 eV per atom. The calculation puts the density of states at the Fermi level at 18.51 states/eV per cell.


A plane-wave DFT calculation with PBE-GGA was carried out for a relaxed KPuCuCl5 crystal.

The space group is C2/c (No. 15) and the conventional cell measures 8.885, 11.866 and 10.120 Å, with angles of 90.00, 113.35 and 90.00 degrees. Symmetry generates all atoms from K at (0.000, 0.147, 0.250), Pu at (0.000, 0.500, 0.000), Cu at (0.000, 0.190, 0.750), Cl at (0.000, 0.412, 0.250), Cl at (0.116, 0.295, 0.621) and Cl at (0.184, 0.069, 0.923).

Its calculated total energy is -5.152 eV/atom. The formation energy from raw total energies is -1.56 eV per atom. The calculation puts the density of states at the Fermi level at 45.89 states/eV per cell.


> Look up the formation energy from raw total energies of the first one.

-1.48 eV per atom